No. 1
VASP calculation (PBE-GGA) on Mn6Ga2CN after structural relaxation.

Values from the calculation:
* DOS(E_F): 28.57 states/eV per cell
* energy above the lowest structure with this stoichiometry: 0 meV per atom
* ΔE_f (raw): -0.20 eV/atom

abc: 7.5956 7.5956 7.5956
angles: 90.00 90.00 90.00
Last column: nearest neighbours and their distance in Å.
Space group Fm-3m (No. 225)
Inequivalent atoms, fractional coordinates:
Mn: 0.0000 0.0000 0.2487 x24  1 N 1.89, 1 C 1.91
Ga: 0.2500 0.2500 0.2500 x8  12 Mn 2.69
C: 0.0000 0.0000 0.5000 x4  6 Mn 1.91
N: 0.0000 0.0000 0.0000 x4  6 Mn 1.89



No. 2
VASP calculation (PBE-GGA) on Mn6Ga2CN after structural relaxation.

Values from the calculation:
* DOS(E_F): 7.47 states/eV per cell
* energy above the lowest structure with this stoichiometry: 772 meV per atom
* ΔE_f (raw): 0.57 eV/atom

abc: 3.0489 3.0489 13.4572
angles: 90.00 90.00 90.00
Last column: nearest neighbours and their distance in Å.
Space group P4/mmm (No. 123)
Inequivalent atoms, fractional coordinates:
Mn: 0.0000 0.0000 0.0000 x1  4 C 2.16
Mn: 0.0000 0.0000 0.5000 x1  4 N 2.16
Mn: 0.0000 0.5000 0.1540 x4  4 Mn 2.16
Ga: 0.0000 0.0000 0.3095 x2  5 Mn 2.56-2.59
C: 0.5000 0.5000 0.0000 x1  4 Mn 2.16
N: 0.5000 0.5000 0.5000 x1  4 Mn 2.16



No. 3
VASP calculation (PBE-GGA) on Mn2NbGaC after structural relaxation.

Values from the calculation:
* DOS(E_F): 3.83 states/eV per cell
* ΔH_f (0 K): -0.133 eV/atom

abc: 3.8479 3.8479 4.3881
angles: 90.00 90.00 90.00
Last column: nearest neighbours and their distance in Å.
Space group P4/mmm (No. 123)
Inequivalent atoms, fractional coordinates:
Mn: 0.0000 0.5000 0.0000 x2  2 C 1.92
Nb: 0.0000 0.0000 0.5000 x1  2 C 2.19
Ga: 0.5000 0.5000 0.5000 x1  4 Nb 2.72, 8 Mn 2.92
C: 0.0000 0.0000 0.0000 x1  4 Mn 1.92



No. 4
VASP calculation (PBE-GGA) on MnGaNi2C after structural relaxation.

Values from the calculation:
* DOS(E_F): 1.53 states/eV per cell
* ΔH_f (0 K): -0.105 eV/atom

abc: 3.7764 3.7764 3.7793
angles: 90.00 90.00 90.00
Last column: nearest neighbours and their distance in Å.
Space group P4/mmm (No. 123)
Inequivalent atoms, fractional coordinates:
Mn: 0.0000 0.0000 0.0000 x1  2 C 1.89
Ga: 0.5000 0.5000 0.0000 x1  4 Mn 2.67, 8 Ni 2.67
Ni: 0.0000 0.5000 0.5000 x2  2 C 1.89
C: 0.0000 0.0000 0.5000 x1  4 Ni 1.89, 2 Mn 1.89



No. 5
VASP calculation (PBE-GGA) on Mn2GaNiC after structural relaxation.

Values from the calculation:
* DOS(E_F): 2.99 states/eV per cell
* ΔH_f (0 K): -0.112 eV/atom

abc: 3.8151 3.8151 3.8258
angles: 90.00 90.00 90.00
Last column: nearest neighbours and their distance in Å.
Space group P4/mmm (No. 123)
Inequivalent atoms, fractional coordinates:
Mn: 0.0000 0.5000 0.0000 x2  2 C 1.91
Ga: 0.0000 0.0000 0.5000 x1  4 Ni 2.70, 8 Mn 2.70
Ni: 0.5000 0.5000 0.5000 x1  2 C 1.91
C: 0.5000 0.5000 0.0000 x1  4 Mn 1.91, 2 Ni 1.91



No. 6
VASP calculation (PBE-GGA) on Pa2Mn2Ga2C after structural relaxation.

Values from the calculation:
* DOS(E_F): 9.64 states/eV per cell
* ΔH_f (0 K): -0.270 eV/atom

abc: 10.3276 4.1951 6.6877
angles: 90.00 127.13 90.00
Last column: nearest neighbours and their distance in Å.
Space group C2/m (No. 12)
Inequivalent atoms, fractional coordinates:
Pa: 0.0451 0.0000 0.3188 x4  2 C 2.60
Mn: 0.2025 0.5000 0.7934 x4  1 C 1.81
Ga: 0.1589 0.5000 0.1174 x4  3 Mn 2.40-2.46, 1 Ga 2.65
C: 0.0000 0.5000 0.5000 x2  2 Mn 1.81



No. 7
VASP calculation (PBE-GGA) on Pu2Mn2Ga2C after structural relaxation.

Values from the calculation:
* DOS(E_F): 31.46 states/eV per cell
* ΔH_f (0 K): -0.067 eV/atom

abc: 10.9984 3.8181 5.6756
angles: 90.00 107.00 90.00
Last column: nearest neighbours and their distance in Å.
Space group C2/m (No. 12)
Inequivalent atoms, fractional coordinates:
Pu: 0.0020 0.0000 0.2618 x4  2 C 2.42
Mn: 0.1898 0.5000 0.0861 x4  1 C 2.00
Ga: 0.1998 0.5000 0.6225 x4  3 Mn 2.58-2.67, 2 Ga 2.77
C: 0.0000 0.5000 0.0000 x2  2 Mn 2.00



No. 8
VASP calculation (PBE-GGA) on Mn2GaRhC after structural relaxation.

Values from the calculation:
* DOS(E_F): 3.72 states/eV per cell
* ΔH_f (0 K): -0.114 eV/atom

abc: 3.8302 3.8302 4.1211
angles: 90.00 90.00 90.00
Last column: nearest neighbours and their distance in Å.
Space group P4/mmm (No. 123)
Inequivalent atoms, fractional coordinates:
Mn: 0.0000 0.5000 0.0000 x2  2 C 1.92
Ga: 0.0000 0.0000 0.5000 x1  4 Rh 2.71, 8 Mn 2.81
Rh: 0.5000 0.5000 0.5000 x1  2 C 2.06
C: 0.5000 0.5000 0.0000 x1  4 Mn 1.92, 2 Rh 2.06



DOS(E_F) of number 8 (Mn2GaRhC)?
3.72 states/eV per cell



Among the records above, which one has the highest DOS(E_F)?
Pu2Mn2Ga2C